Here is a geometry-optimized Cs2VWF6 structure from Alexandria. Energies are from PBE with a Hubbard U.

Lattice parameters (Å, degrees): 6.3089 6.3089 6.2462 59.67 59.67 90.00
With the nearest neighbours (Å) after each atom.
Positions (direct):
F  0.2589  0.7411  0.0000  1 V 2.15, 1 W 2.31
F  0.7411  0.2589  0.0000  1 V 2.15, 1 W 2.31
V  0.5000  0.5000  0.0000  6 F 2.15-2.17
F  0.2518  0.2518  0.4964  1 V 2.17, 1 W 2.20
Cs  0.7500  0.2500  0.5000  12 F 3.12-3.15
F  0.7411  0.7411  0.0000  1 V 2.15, 1 W 2.31
Cs  0.2500  0.7500  0.5000  12 F 3.12-3.15
W  0.0000  0.0000  0.0000  6 F 2.20-2.31
F  0.7482  0.7482  0.5036  1 V 2.17, 1 W 2.20
F  0.2589  0.2589  0.0000  1 V 2.15, 1 W 2.31

Properties
Final energy   -5.11 eV per atom
M_tot   5.0 μB/cell